# KCeMnWO6 | the Alexandria database | GGA+U | relaxed
# Calculated total energy   -7.356 eV per atom
data_KCeMnWO6
_symmetry_space_group_name_H-M 'F -4 3 m'
_symmetry_Int_Tables_number 216
_symmetry_space_group_name_Hall 'F -4 2 3'
_cell_length_a 8.120
_cell_length_b 8.120
_cell_length_c 8.120
_cell_angle_alpha 90.00
_cell_angle_beta 90.00
_cell_angle_gamma 90.00
loop_
_atom_site_label
_atom_site_type_symbol
_atom_site_fract_x
_atom_site_fract_y
_atom_site_fract_z
_atom_site_occupancy
K1 K 0.000 0.000 0.000 1
Ce1 Ce 0.000 0.000 0.500 1
Mn1 Mn 0.250 0.250 0.250 1
W1 W 0.250 0.250 0.750 1
O1 O 0.011 0.250 0.750 1